Entry 1:
Ba2InPbAu6, optimized geometry, DFT PBE; electronic total energy = -3.28 eV per atom; V = 31.3 Å³/atom; D(E_F) = 3.92 states/eV/f.u.
1.0
-5.2819 -3.7674 3.9967
0.8963 -6.0618 -4.5295
1.6389 -6.8023 3.0181
Au In Pb Ba
6 1 1 2
Direct
0.2457 0.7543 0.0000
0.2457 0.2457 0.5086
0.7543 0.7543 0.0000
0.7543 0.2457 0.0000
0.7543 0.7543 0.4914
0.2457 0.2457 0.0000
0.0000 0.0000 0.0000
0.5000 0.5000 0.0000
0.7500 0.2500 0.5000
0.2500 0.7500 0.5000

***

Entry 2:
Nd2TmInO, optimized geometry, DFT PBE; energy relative to the elements, uncorrected = -1399 meV per atom; V = 23.6 Å³/atom; D(E_F) = 2.54 states/eV/f.u.
1.0
-4.5277 -1.0251 0.1797
0.5129 -2.9729 -4.0346
1.0053 -3.9123 3.0105
Tm In Nd O
1 1 2 1
Direct
0.5000 0.0000 0.0000
0.5000 0.5000 0.5000
0.0000 0.0000 0.5000
0.0000 0.5000 0.0000
0.0000 0.0000 0.0000

***

Entry 3:
Tl3P, optimized geometry, DFT PBE; electronic total energy = -2.94 eV per atom; V = 27.3 Å³/atom; D(E_F) = 1.37 states/eV/f.u.
1.0
3.6470 0.0000 0.0000
0.0000 3.6470 0.0000
0.0000 0.0000 8.2050
Tl P
3 1
Direct
0.0000 0.0000 0.5000
0.5000 0.5000 0.8000
0.5000 0.5000 0.2000
0.0000 0.0000 0.0000

***

Entry 4:
LaTi3Zn, optimized geometry, DFT PBE; energy relative to the lowest polymorph listed for this composition = 0 meV per atom; V = 23.2 Å³/atom; D(E_F) = 10.48 states/eV/f.u.
1.0
4.8779 0.0000 0.0000
0.0000 4.8779 0.0000
0.0000 0.0000 4.8779
Ti La Zn
3 1 1
Direct
0.5000 0.0000 0.0000
0.0000 0.0000 0.5000
0.0000 0.5000 0.0000
0.5000 0.5000 0.5000
0.0000 0.0000 0.0000

***

Entry 5:
LaPr2ErSe5, optimized geometry, DFT PBE; energy relative to the elements, uncorrected = -1396 meV per atom; V = 32.1 Å³/atom; D(E_F) = 6.52 states/eV/f.u.
1.0
5.1115 0.0000 0.0000
0.0000 5.1115 0.0000
0.0000 0.0000 11.0490
La Se Pr Er
1 5 2 1
Direct
0.0000 0.0000 0.0000
0.0000 0.0000 0.7474
0.0000 0.0000 0.2526
0.5000 0.5000 0.0000
0.5000 0.0000 0.5000
0.0000 0.5000 0.5000
0.5000 0.5000 0.3245
0.5000 0.5000 0.6755
0.0000 0.0000 0.5000

***

Entry 6:
Tl2PSeF5, optimized geometry, DFT PBE; energy relative to the elements, uncorrected = -1858 meV per atom; V = 21.9 Å³/atom; D(E_F) = 0.00 states/eV/f.u.
1.0
6.5340 -0.0944 -0.1369
-3.1855 5.7056 0.1369
-3.1855 -1.9038 5.3804
F Se Tl P
5 1 2 1
Direct
0.3634 0.1956 0.1956
0.6366 0.8322 0.8322
0.0000 0.1853 0.1853
0.0000 0.8322 0.1956
0.0000 0.1956 0.8322
0.0000 0.7553 0.7553
0.5000 0.2503 0.7503
0.5000 0.7503 0.2503
0.0000 0.0032 0.0032

***

Entry 7:
NdGe3Au3, optimized geometry, DFT PBE; electronic total energy = -4.11 eV per atom; V = 25.1 Å³/atom; D(E_F) = 3.15 states/eV/f.u.
1.0
7.0557 0.0000 0.0000
0.0000 7.0557 0.0000
0.0000 0.0000 7.0557
Ge Au Nd
6 6 2
Direct
0.0000 0.5000 0.2500
0.7500 0.0000 0.5000
0.0000 0.5000 0.7500
0.5000 0.2500 0.0000
0.5000 0.7500 0.0000
0.2500 0.0000 0.5000
0.5000 0.0000 0.2500
0.2500 0.5000 0.0000
0.5000 0.0000 0.7500
0.0000 0.2500 0.5000
0.0000 0.7500 0.5000
0.7500 0.5000 0.0000
0.5000 0.5000 0.5000
0.0000 0.0000 0.0000